(1)
Material: Na2TcO4
Method: DFT, PBE
State: optimized geometry

N(E_F) ... 0.693 states/eV/atom
Formation energy without anion corrections ... -1561.2 meV per atom
Calculated volume ... 231 Å³/cell
Total magnetization ... 1.01 μB per formula unit
Distance to the lowest polymorph of the same formula ... 49 meV/atom
Total DFT energy (no corrections) ... -6.25 eV/atom

Cell and atoms, written as CIF:
```
data_Na2TcO4
_symmetry_space_group_name_H-M 'P 1 21/m 1'
_symmetry_Int_Tables_number 11
_cell_length_a 5.948
_cell_length_b 6.186
_cell_length_c 6.506
_cell_angle_alpha 90.00
_cell_angle_beta 105.23
_cell_angle_gamma 90.00
loop_
_symmetry_equiv_pos_as_xyz
'x,y,z'
'-x,-y,-z'
'-x,y+1/2,-z'
'x,-y+1/2,z'
loop_
_atom_site_label
_atom_site_type_symbol
_atom_site_fract_x
_atom_site_fract_y
_atom_site_fract_z
Na1 Na 0.164 0.250 0.031
Na2 Na 0.265 0.250 0.572
Tc1 Tc 0.292 0.750 0.814
O1 O 0.094 0.523 0.765
O2 O 0.454 0.750 0.087
O3 O 0.500 0.250 0.339
```



(2)
Material: NaTe2ClO
Method: DFT, PBE
State: optimized geometry

N(E_F) ... 0.200 states/eV/atom
Formation energy without anion corrections ... -469.4 meV per atom
Calculated volume ... 163 Å³/cell
Total magnetization ... 0.00 μB per formula unit
Total DFT energy (no corrections) ... -3.35 eV/atom

Cell and atoms, written as CIF:
```
data_NaTe2ClO
_symmetry_space_group_name_H-M 'P 4/m m m'
_symmetry_Int_Tables_number 123
_symmetry_space_group_name_Hall '-P 4 2'
_cell_length_a 4.436
_cell_length_b 4.436
_cell_length_c 8.281
_cell_angle_alpha 90.00
_cell_angle_beta 90.00
_cell_angle_gamma 90.00
loop_
_atom_site_label
_atom_site_type_symbol
_atom_site_fract_x
_atom_site_fract_y
_atom_site_fract_z
Na1 Na 0.000 0.000 0.000
Te1 Te 0.000 0.500 0.500
Cl1 Cl 0.500 0.500 0.000
O1 O 0.000 0.000 0.500
```



(3)
Material: Pr3Sm6Ho2Th
Method: DFT, PBE
State: optimized geometry

Formation energy from the elements ... 0.0263 eV/atom
N(E_F) ... 1.415 states/eV/atom
Calculated volume ... 812 Å³/cell
Total magnetization ... 0.00 μB per formula unit
Total DFT energy (no corrections) ... -4.91 eV/atom

Cell and atoms, written as CIF:
```
data_Pr3Sm6Ho2Th
_symmetry_space_group_name_H-M 'C 1 2/m 1'
_symmetry_Int_Tables_number 12
_cell_length_a 6.284
_cell_length_b 10.866
_cell_length_c 12.074
_cell_angle_alpha 90.00
_cell_angle_beta 99.96
_cell_angle_gamma 90.00
loop_
_symmetry_equiv_pos_as_xyz
'x,y,z'
'-x,-y,-z'
'-x,y,-z'
'x,-y,z'
'x+1/2,y+1/2,z'
'-x+1/2,-y+1/2,-z'
'-x+1/2,y+1/2,-z'
'x+1/2,-y+1/2,z'
loop_
_atom_site_label
_atom_site_type_symbol
_atom_site_fract_x
_atom_site_fract_y
_atom_site_fract_z
Pr1 Pr 0.000 0.000 0.000
Pr2 Pr 0.000 0.333 0.000
Sm1 Sm 0.247 0.335 0.745
Sm2 Sm 0.248 0.500 0.255
Ho1 Ho 0.000 0.167 0.500
Th1 Th 0.000 0.500 0.500
```



(4)
Material: LaPrNiAu
Method: DFT, PBE
State: optimized geometry

Formation energy from the elements ... -0.4471 eV/atom
N(E_F) ... 0.850 states/eV/atom
Calculated volume ... 397 Å³/cell
Total magnetization ... 0.00 μB per formula unit
Distance to the lowest polymorph of the same formula ... 81 meV/atom
Total DFT energy (no corrections) ... -5.14 eV/atom

Cell and atoms, written as CIF:
```
data_LaPrNiAu
_symmetry_space_group_name_H-M 'F -4 3 m'
_symmetry_Int_Tables_number 216
_symmetry_space_group_name_Hall 'F -4 2 3'
_cell_length_a 7.347
_cell_length_b 7.347
_cell_length_c 7.347
_cell_angle_alpha 90.00
_cell_angle_beta 90.00
_cell_angle_gamma 90.00
loop_
_atom_site_label
_atom_site_type_symbol
_atom_site_fract_x
_atom_site_fract_y
_atom_site_fract_z
La1 La 0.000 0.000 0.000
Pr1 Pr 0.000 0.000 0.500
Ni1 Ni 0.250 0.250 0.250
Au1 Au 0.250 0.250 0.750
```



(5)
Material: Al2AgCl
Method: DFT, PBE
State: optimized geometry

N(E_F) ... 0.253 states/eV/atom
Formation energy without anion corrections ... -31.1 meV per atom
Calculated volume ... 154 Å³/cell
Total magnetization ... 0.00 μB per formula unit
Distance to the lowest polymorph of the same formula ... 200 meV/atom
Total DFT energy (no corrections) ... -3.08 eV/atom

Cell and atoms, written as CIF:
```
data_Al2AgCl
_symmetry_space_group_name_H-M 'I m m 2'
_symmetry_Int_Tables_number 44
_cell_length_a 2.942
_cell_length_b 4.823
_cell_length_c 10.864
_cell_angle_alpha 90.00
_cell_angle_beta 90.00
_cell_angle_gamma 90.00
loop_
_symmetry_equiv_pos_as_xyz
'x,y,z'
'-x,-y,z'
'-x,y,z'
'x,-y,z'
'x+1/2,y+1/2,z+1/2'
'-x+1/2,-y+1/2,z+1/2'
'-x+1/2,y+1/2,z+1/2'
'x+1/2,-y+1/2,z+1/2'
loop_
_atom_site_label
_atom_site_type_symbol
_atom_site_fract_x
_atom_site_fract_y
_atom_site_fract_z
Al1 Al 0.000 0.000 0.000
Al2 Al 0.000 0.500 0.277
Ag1 Ag 0.000 0.000 0.558
Cl1 Cl 0.000 0.500 0.777
```



(6)
Material: Th4Te5O
Method: DFT, PBE
State: optimized geometry

N(E_F) ... 0.487 states/eV/atom
Formation energy without anion corrections ... -1316.3 meV per atom
Calculated volume ... 633 Å³/cell
Total magnetization ... 0.00 μB per formula unit
Total DFT energy (no corrections) ... -6.35 eV/atom

Cell and atoms, written as CIF:
```
data_Th4Te5O
_symmetry_space_group_name_H-M 'C 1 2/m 1'
_symmetry_Int_Tables_number 12
_cell_length_a 18.519
_cell_length_b 4.178
_cell_length_c 8.401
_cell_angle_alpha 90.00
_cell_angle_beta 103.03
_cell_angle_gamma 90.00
loop_
_symmetry_equiv_pos_as_xyz
'x,y,z'
'-x,-y,-z'
'-x,y,-z'
'x,-y,z'
'x+1/2,y+1/2,z'
'-x+1/2,-y+1/2,-z'
'-x+1/2,y+1/2,-z'
'x+1/2,-y+1/2,z'
loop_
_atom_site_label
_atom_site_type_symbol
_atom_site_fract_x
_atom_site_fract_y
_atom_site_fract_z
Th1 Th 0.003 0.000 0.286
Th2 Th 0.145 0.500 0.570
Te1 Te 0.000 0.500 0.000
Te2 Te 0.167 0.000 0.850
Te3 Te 0.175 0.000 0.311
O1 O 0.000 0.500 0.500
```



(7)
Material: TeIr2Au
Method: DFT, PBE
State: optimized geometry

N(E_F) ... 0.948 states/eV/atom
Formation energy without anion corrections ... 427.6 meV per atom
Calculated volume ... 75 Å³/cell
Total magnetization ... 0.00 μB per formula unit
Distance to the lowest polymorph of the same formula ... 136 meV/atom
Total DFT energy (no corrections) ... -5.61 eV/atom

Cell and atoms, written as CIF:
```
data_TeIr2Au
_symmetry_space_group_name_H-M 'P m m 2'
_symmetry_Int_Tables_number 25
_cell_length_a 2.905
_cell_length_b 3.751
_cell_length_c 6.902
_cell_angle_alpha 90.00
_cell_angle_beta 90.00
_cell_angle_gamma 90.00
loop_
_symmetry_equiv_pos_as_xyz
'x,y,z'
'-x,-y,z'
'-x,y,z'
'x,-y,z'
loop_
_atom_site_label
_atom_site_type_symbol
_atom_site_fract_x
_atom_site_fract_y
_atom_site_fract_z
Te1 Te 0.000 0.000 0.000
Ir1 Ir 0.000 0.000 0.585
Ir2 Ir 0.500 0.500 0.788
Au1 Au 0.500 0.500 0.357
```



(8)
Material: PuSnHgAu
Method: DFT, PBE
State: optimized geometry

Formation energy from the elements ... -0.2012 eV/atom
N(E_F) ... 2.977 states/eV/atom
Calculated volume ... 377 Å³/cell
Total magnetization ... 5.55 μB per formula unit
Total DFT energy (no corrections) ... -5.68 eV/atom

Cell and atoms, written as CIF:
```
data_PuSnHgAu
_symmetry_space_group_name_H-M 'F -4 3 m'
_symmetry_Int_Tables_number 216
_symmetry_space_group_name_Hall 'F -4 2 3'
_cell_length_a 7.224
_cell_length_b 7.224
_cell_length_c 7.224
_cell_angle_alpha 90.00
_cell_angle_beta 90.00
_cell_angle_gamma 90.00
loop_
_atom_site_label
_atom_site_type_symbol
_atom_site_fract_x
_atom_site_fract_y
_atom_site_fract_z
Pu1 Pu 0.000 0.000 0.000
Sn1 Sn 0.250 0.250 0.250
Hg1 Hg 0.000 0.000 0.500
Au1 Au 0.250 0.250 0.750
```